# 1
PrNpRu2: optimized geometry, PBE.

Output
- ΔH_f (0 K) (kJ per mole of atoms) = -9.0
- total energy (eV per formula unit) = -36.65
- total magnetic moment (μB per formula unit) = 2.349
- SG = No. 123

a b c (Å): 3.3405 3.3405 7.3792
angles (deg): 90.00 90.00 90.00
Fractional coordinates of all 4 atoms:
Pr: 0.0000 0.0000 0.0000
Np: 0.0000 0.0000 0.5000
Ru: 0.5000 0.5000 0.2975
Ru: 0.5000 0.5000 0.7025


# 2
Pr2NpRu2: optimized geometry, PBE.

Output
- ΔH_f (0 K) (kJ per mole of atoms) = -18.8
- total energy (eV per formula unit) = -42.03
- total magnetic moment (μB per formula unit) = 2.979
- SG = No. 15

a b c (Å): 5.9437 5.9437 7.9010
angles (deg): 97.99 97.99 61.82
Fractional coordinates of all 10 atoms:
Pr: 0.0286 0.2738 0.1520
Pr: 0.2738 0.0286 0.6520
Pr: 0.7262 0.9714 0.3480
Pr: 0.9714 0.7262 0.8480
Np: 0.3758 0.6242 0.2500
Np: 0.6242 0.3758 0.7500
Ru: 0.2517 0.5042 0.4871
Ru: 0.4958 0.7483 0.0129
Ru: 0.5042 0.2517 0.9871
Ru: 0.7483 0.4958 0.5129


# 3
PrNp2Ru3: optimized geometry, PBE.

Output
- ΔH_f (0 K) (kJ per mole of atoms) = -0.4
- total energy (eV per formula unit) = -58.51
- total magnetic moment (μB per formula unit) = 4.763
- SG = No. 63

a b c (Å): 6.3217 6.3217 6.5838
angles (deg): 90.00 90.00 79.90
Fractional coordinates of all 12 atoms:
Pr: 0.1856 0.8144 0.7500
Pr: 0.8144 0.1856 0.2500
Np: 0.2908 0.2908 0.0000
Np: 0.2908 0.2908 0.5000
Np: 0.7092 0.7092 0.0000
Np: 0.7092 0.7092 0.5000
Ru: 0.0017 0.6882 0.2500
Ru: 0.3118 0.9983 0.2500
Ru: 0.4323 0.5677 0.2500
Ru: 0.5677 0.4323 0.7500
Ru: 0.6882 0.0017 0.7500
Ru: 0.9983 0.3118 0.7500


# 4
PrNpRu2: optimized geometry, PBE.

Output
- ΔH_f (0 K) (kJ per mole of atoms) = -9.5
- total energy (eV per formula unit) = -36.66
- total magnetic moment (μB per formula unit) = 1.990
- SG = No. 15

a b c (Å): 5.8840 5.8840 5.9198
angles (deg): 105.83 105.83 104.43
Fractional coordinates of all 8 atoms:
Pr: 0.1632 0.8368 0.7500
Pr: 0.8368 0.1632 0.2500
Np: 0.4205 0.5795 0.2500
Np: 0.5795 0.4205 0.7500
Ru: 0.1086 0.3459 0.8534
Ru: 0.3459 0.1086 0.3534
Ru: 0.6541 0.8914 0.6466
Ru: 0.8914 0.6541 0.1466